MgI2: optimized geometry, PBEsol.

Computed properties:
formation energy (no corrections) = -1053.6 meV per atom
final energy = -2.80 eV per atom
DOS(E_F) = 0.00 states/eV/cell
SG = P-3m1, No. 164
M_tot = 0.000 μB/atom

abc: 4.128 4.128 7.039
angles: 90.00 90.00 120.00
Sites, in units of the cell vectors:
I: 0.667 0.333 0.238
I: 0.333 0.667 0.762
Mg: 0.000 0.000 0.000

---

ZrZnCr2: optimized geometry, PBEsol.

Computed properties:
ΔH_f (0 K) = 0.238 eV per atom
final energy = -7.55 eV per atom
DOS(E_F) = 2.85 states/eV/cell
SG = Cmm2, No. 35
M_tot = 0.000 μB/atom

abc: 2.662 2.662 8.603
angles: 90.00 90.00 110.68
Sites, in units of the cell vectors:
Cr: 0.000 0.000 0.967
Cr: 0.500 0.500 0.771
Zn: 0.000 0.000 0.527
Zr: 0.500 0.500 0.236

---

KNb3Fe: optimized geometry, PBEsol.

Computed properties:
ΔH_f (0 K) = 2.769 eV per atom
final energy = -5.74 eV per atom
DOS(E_F) = 7.56 states/eV/cell
SG = Pm-3m, No. 221
M_tot = 0.708 μB/atom

abc: 4.529 4.529 4.529
angles: 90.00 90.00 90.00
Sites, in units of the cell vectors:
K: 0.000 0.000 0.000
Nb: 0.000 0.500 0.000
Nb: 0.000 0.000 0.500
Nb: 0.500 0.000 0.000
Fe: 0.500 0.500 0.500

---

Ta2OsF: optimized geometry, PBEsol.

Computed properties:
formation energy (no corrections) = -285.0 meV per atom
final energy = -10.10 eV per atom
DOS(E_F) = 4.09 states/eV/cell
SG = Fm-3m, No. 225
M_tot = 0.000 μB/atom

abc: 4.396 4.396 4.396
angles: 60.00 60.00 60.00
Sites, in units of the cell vectors:
F: 0.000 0.000 0.000
Os: 0.500 0.500 0.500
Ta: 0.250 0.250 0.250
Ta: 0.750 0.750 0.750

---

Please write out number 1 again, unchanged.
MgI2: optimized geometry, PBEsol.

Computed properties:
formation energy (no corrections) = -1053.6 meV per atom
final energy = -2.80 eV per atom
DOS(E_F) = 0.00 states/eV/cell
SG = P-3m1, No. 164
M_tot = 0.000 μB/atom

abc: 4.128 4.128 7.039
angles: 90.00 90.00 120.00
Sites, in units of the cell vectors:
I: 0.667 0.333 0.238
I: 0.333 0.667 0.762
Mg: 0.000 0.000 0.000

---

Number 2 is which compound? ZrZnCr2

---

Among the records above, which one has the highest M_tot? KNb3Fe